An optimized crystal structure of TaVTeF2. Source: Alexandria, functional GGA+U.

For the total magnetic moment, the calculation gives 0.00 μB per cell. The total energy comes out at -5.957 eV per atom. The calculation puts the mass density at 7.714 g/cm³.

Cell and atoms, written as POSCAR:
```
TaVTeF2
1.0
3.929 0.000 0.000
0.000 3.929 0.000
0.000 0.000 5.541
Ta V Te F
1 1 1 2
Cartesian
0.000 0.000 0.000
0.000 0.000 2.771
1.965 1.965 0.000
0.000 1.965 2.771
1.965 0.000 2.771
```